Record 1
DFT (GGA-PBEsol) results for crystalline BaAl2GeSb at its relaxed geometry.

For the density of states at the Fermi level, the calculation gives 0.614 states/eV per atom. The total DFT energy (no corrections) comes out at -3.822 eV per atom. For the total magnetization, the calculation gives 0.0000 μB/atom.

The structure in CIF format:
```
data_BaAl2GeSb
_cell_length_a 4.9307
_cell_length_b 4.9307
_cell_length_c 6.1153
_cell_angle_alpha 90.00
_cell_angle_beta 90.00
_cell_angle_gamma 90.00
_symmetry_space_group_name_H-M 'P 4/m m m'
_symmetry_Int_Tables_number 123
_symmetry_space_group_name_Hall '-P 4 2'
loop_
_atom_site_label
_atom_site_type_symbol
_atom_site_fract_x
_atom_site_fract_y
_atom_site_fract_z
Ba1 Ba 0.0000 0.0000 0.0000
Al1 Al 0.0000 0.5000 0.5000
Ge1 Ge 0.0000 0.0000 0.5000
Sb1 Sb 0.5000 0.5000 0.0000
```

=====

Record 2
DFT (GGA-PBEsol) results for crystalline Ba2AlTlGe at its relaxed geometry.

The formation energy is 0.061 eV/atom. For the density of states at the Fermi level, the calculation gives 1.244 states/eV per atom. For the total magnetization, the calculation gives 0.0003 μB/atom.

The structure in CIF format:
```
data_Ba2AlTlGe
_cell_length_a 6.3755
_cell_length_b 6.3755
_cell_length_c 4.6821
_cell_angle_alpha 90.00
_cell_angle_beta 90.00
_cell_angle_gamma 90.00
_symmetry_space_group_name_H-M 'P 4/m m m'
_symmetry_Int_Tables_number 123
_symmetry_space_group_name_Hall '-P 4 2'
loop_
_atom_site_label
_atom_site_type_symbol
_atom_site_fract_x
_atom_site_fract_y
_atom_site_fract_z
Ba1 Ba 0.0000 0.5000 0.0000
Al1 Al 0.0000 0.0000 0.0000
Tl1 Tl 0.5000 0.5000 0.5000
Ge1 Ge 0.0000 0.0000 0.5000
```

=====

Record 3
DFT (GGA-PBEsol) results for crystalline Ba3AlHO4 at its relaxed geometry.

For the density of states at the Fermi level, the calculation gives 0.000 states/eV per atom. The total DFT energy (no corrections) comes out at -6.331 eV per atom. For the total magnetization, the calculation gives 0.0000 μB/atom.

The structure in CIF format:
```
data_Ba3AlHO4
_cell_length_a 10.4404
_cell_length_b 8.1616
_cell_length_c 7.2063
_cell_angle_alpha 90.00
_cell_angle_beta 90.00
_cell_angle_gamma 90.00
_symmetry_space_group_name_H-M 'P n m a'
_symmetry_Int_Tables_number 62
_symmetry_space_group_name_Hall '-P 2ac 2n'
loop_
_atom_site_label
_atom_site_type_symbol
_atom_site_fract_x
_atom_site_fract_y
_atom_site_fract_z
Ba1 Ba 0.0353 0.2500 0.0985
Ba2 Ba 0.1654 0.0256 0.6005
Al1 Al 0.1040 0.7500 0.3109
H1 H 0.2308 0.7500 0.8400
O1 O 0.0114 0.7500 0.5192
O2 O 0.0729 0.5642 0.1944
O3 O 0.2304 0.2500 0.8718
```

=====

Record 4
DFT (GGA-PBEsol) results for crystalline Ba2Al2Hg at its relaxed geometry.

The formation energy is 0.017 eV/atom. For the density of states at the Fermi level, the calculation gives 0.772 states/eV per atom. For the total magnetization, the calculation gives 0.0000 μB/atom.

The structure in CIF format:
```
data_Ba2Al2Hg
_cell_length_a 6.6307
_cell_length_b 6.6307
_cell_length_c 7.7018
_cell_angle_alpha 90.00
_cell_angle_beta 90.00
_cell_angle_gamma 90.00
_symmetry_space_group_name_H-M 'I 4/m m m'
_symmetry_Int_Tables_number 139
_symmetry_space_group_name_Hall '-I 4 2'
loop_
_atom_site_label
_atom_site_type_symbol
_atom_site_fract_x
_atom_site_fract_y
_atom_site_fract_z
Ba1 Ba 0.0000 0.5000 0.2500
Al1 Al 0.0000 0.0000 0.1594
Hg1 Hg 0.0000 0.0000 0.5000
```